Material: Re3SnRu
Method: DFT, meta-GGA SCAN
State: single point on PBEsol structure

For the density of states at the Fermi level, the calculation gives 0.7625 states/eV/atom. The energy relative to the elements comes out at 3.27 eV per atom. Its calculated volume is 20.6 Å³ per atom.

The space group is Pm-3m (No. 221) and the conventional cell measures 4.690, 4.690 and 4.690 Å, with angles of 90.00, 90.00 and 90.00 degrees. The inequivalent atoms are Re at (0.000, 0.000, 0.500), Sn at (0.000, 0.000, 0.000) and Ru at (0.500, 0.500, 0.500).

---

Material: Cr2O3
Method: DFT, meta-GGA SCAN
State: single point on PBEsol structure

For the uncorrected formation energy, the calculation gives -1211.1 kJ/mol of formula units. For the density of states at the Fermi level, the calculation gives 0.0000 states/eV/atom. Its calculated volume is 9.8 Å³ per atom.

The space group is Ia-3 (No. 206) and the conventional cell measures 9.225, 9.225 and 9.225 Å, with angles of 90.00, 90.00 and 90.00 degrees. The inequivalent atoms are Cr at (0.000, 0.000, 0.000), Cr at (0.000, 0.250, 0.288) and O at (0.093, 0.141, 0.634).

---

Material: AgPt2
Method: DFT, meta-GGA SCAN
State: single point on PBEsol structure

For the density of states at the Fermi level, the calculation gives 1.0795 states/eV/atom. The energy relative to the elements comes out at 0.06 eV per atom. The value obtained for the energy above the most stable polymorph in this dataset is 0.19 eV/f.u. Its calculated volume is 15.4 Å³ per atom.

The space group is Pmmn (No. 59, origin choice 2) and the conventional cell measures 2.765, 4.002 and 16.660 Å, with angles of 90.00, 90.00 and 90.00 degrees. The inequivalent atoms are Ag at (0.250, 0.250, 0.126), Ag at (0.250, 0.250, 0.292), Pt at (0.250, 0.250, 0.459), Pt at (0.250, 0.250, 0.623), Pt at (0.250, 0.250, 0.791) and Pt at (0.250, 0.250, 0.959).

---

Material: BeGaCoP2
Method: DFT, meta-GGA SCAN
State: single point on PBEsol structure

For the density of states at the Fermi level, the calculation gives 0.6678 states/eV/atom. The energy relative to the elements comes out at 0.92 eV per atom. Its calculated volume is 14.5 Å³ per atom.

The space group is P4/mmm (No. 123) and the conventional cell measures 4.096, 4.096 and 4.334 Å, with angles of 90.00, 90.00 and 90.00 degrees. The inequivalent atoms are Be at (0.000, 0.000, 0.000), Ga at (0.000, 0.000, 0.500), Co at (0.500, 0.500, 0.500) and P at (0.000, 0.500, 0.000).

---

Material: TePb3
Method: DFT, meta-GGA SCAN
State: single point on PBEsol structure

For the uncorrected formation energy, the calculation gives -11.8 kJ/mol of formula units. For the density of states at the Fermi level, the calculation gives 0.4604 states/eV/atom. Its calculated volume is 29.6 Å³ per atom.

The space group is Cmmm (No. 65) and the conventional cell measures 7.019, 8.541 and 3.956 Å, with angles of 90.00, 90.00 and 90.00 degrees. The inequivalent atoms are Te at (0.000, 0.000, 0.000), Pb at (0.000, 0.500, 0.000) and Pb at (0.250, 0.250, 0.500).

---

Material: GaSbBr3
Method: DFT, meta-GGA SCAN
State: single point on PBEsol structure

For the uncorrected formation energy, the calculation gives 9.8 kJ/mol of formula units. For the density of states at the Fermi level, the calculation gives 0.6580 states/eV/atom. Its calculated volume is 26.9 Å³ per atom.

The space group is Pm-3m (No. 221) and the conventional cell measures 5.126, 5.126 and 5.126 Å, with angles of 90.00, 90.00 and 90.00 degrees. The inequivalent atoms are Ga at (0.000, 0.000, 0.000), Sb at (0.500, 0.500, 0.500) and Br at (0.000, 0.000, 0.500).